VASP calculation (PBE) on crystalline BeRe2Ir at its relaxed geometry.

Properties
The value obtained for the final energy is -9.441 eV/atom. For the calculated density, the calculation gives 17.890 g/cm3. As for the space group: Immm, No. 71. Its formation energy is -7 kJ/mol of atoms. As for the density of states at the Fermi level: 0.5650 states/eV/atom.

Cell: 4.992 4.992 4.992 Å, 145.90 129.52 62.33°
Atoms (fractional coordinates):
Be1 0.000 0.000 0.000
Re1 0.230 0.730 0.500
Re2 0.770 0.270 0.500
Ir1 0.500 0.500 0.000

VASP calculation (PBE) on crystalline Sm3Er2Cd2 at its relaxed geometry.

Properties
The value obtained for the final energy is -3.739 eV/atom. For the calculated density, the calculation gives 8.228 g/cm3. As for the space group: R-3m, No. 166. Its formation energy is -15 kJ/mol of atoms. As for the density of states at the Fermi level: 1.0320 states/eV/atom.

Cell: 8.596 8.596 8.596 Å, 36.78 36.78 36.78°
Atoms (fractional coordinates):
Sm1 0.000 0.000 0.000
Sm2 0.158 0.158 0.158
Sm3 0.842 0.842 0.842
Er1 0.427 0.427 0.427
Er2 0.573 0.573 0.573
Cd1 0.289 0.289 0.289
Cd2 0.711 0.711 0.711

VASP calculation (PBE) on crystalline TiV2Ag2Se6 at its relaxed geometry.

Properties
The value obtained for the final energy is -5.406 eV/atom. For the calculated density, the calculation gives 5.793 g/cm3. As for the space group: C2/m, No. 12. As for the uncorrected formation energy: -612 meV per atom. As for the density of states at the Fermi level: 0.4025 states/eV/atom.

Cell: 6.299 6.299 7.172 Å, 94.83 94.83 120.88°
Atoms (fractional coordinates):
Ti1 0.000 0.000 0.000
V1 0.356 0.644 0.000
V2 0.644 0.356 0.000
Ag1 0.358 0.642 0.500
Ag2 0.642 0.358 0.500
Se1 0.028 0.370 0.201
Se2 0.288 0.288 0.770
Se3 0.370 0.028 0.201
Se4 0.630 0.972 0.799
Se5 0.712 0.712 0.230
Se6 0.972 0.630 0.799